{"formula": "KPaPN4", "functional": "GGA-PBE", "state": "optimized geometry", "cell": [[5.676, 0.000, 0.000], [0.000, 5.369, 0.000], [-2.066, 0.000, 7.413]], "species": ["K", "K", "Pa", "Pa", "P", "P", "N", "N", "N", "N", "N", "N", "N", "N"], "fractional_positions": [[0.202, 0.250, 0.430], [0.798, 0.750, 0.570], [0.258, 0.250, 0.943], [0.742, 0.750, 0.057], [0.261, 0.750, 0.162], [0.739, 0.250, 0.838], [0.075, 0.750, 0.291], [0.082, 0.750, 0.951], [0.451, 0.514, 0.175], [0.451, 0.986, 0.175], [0.549, 0.014, 0.825], [0.549, 0.486, 0.825], [0.918, 0.250, 0.049], [0.925, 0.250, 0.709]], "spacegroup": "P2_1/m (11)", "n_ef_per_ev_fu": 5.10, "final_energy_ev_per_fu": -54.346}



{"formula": "Sc2Al6FeRu", "functional": "GGA-PBE", "state": "optimized geometry", "cell": [[-3.205, 3.212, 4.535], [3.205, -3.212, 4.535], [3.205, 3.212, -4.535]], "species": ["Sc", "Sc", "Al", "Al", "Al", "Al", "Al", "Al", "Fe", "Ru"], "fractional_positions": [[0.250, 0.250, 0.000], [0.750, 0.750, 0.000], [0.257, 0.243, 0.500], [0.257, 0.757, 0.013], [0.257, 0.757, 0.500], [0.743, 0.243, 0.500], [0.743, 0.243, 0.987], [0.743, 0.757, 0.500], [0.500, 0.000, 0.500], [0.000, 0.500, 0.500]], "spacegroup": "Immm (71)", "n_ef_per_ev_fu": 4.24, "final_energy_ev_per_fu": -54.614, "ef_mev_per_atom": -176}